No. 1
YAlCr3 PBE optimized geometry; electronic total energy = -29.29 eV/cell; volume = 23.37 Å³ per atom; relative energy among the computed polymorphs = 1035 meV per atom
1.0
4.8889 0.0000 0.0000
0.0000 4.8889 0.0000
0.0000 0.0000 4.8889
Y Al Cr
1 1 3
direct
0.0000 0.0000 0.0000
0.5000 0.5000 0.5000
0.0000 0.0000 0.5000
0.0000 0.5000 0.0000
0.5000 0.0000 0.0000

No. 2
YAl2Cr PBE optimized geometry; electronic total energy = -22.76 eV/cell; volume = 19.95 Å³ per atom
1.0
1.5827 0.9138 9.1942
-1.5827 0.9138 9.1942
0.0000 -1.8276 9.1942
Y Al Cr
1 2 1
direct
0.0000 0.0000 0.0000
0.2385 0.2385 0.2385
0.7615 0.7615 0.7615
0.5000 0.5000 0.5000

No. 3
YAl8Cr4 PBE optimized geometry; electronic total energy = -77.83 eV/cell; volume = 15.45 Å³ per atom
1.0
-4.4563 4.4563 2.5287
4.4563 -4.4563 2.5287
4.4563 4.4563 -2.5287
Y Al Cr
1 8 4
direct
0.0000 0.0000 0.0000
0.0000 0.3367 0.3367
0.0000 0.6633 0.6633
0.2770 0.5000 0.7770
0.3367 0.0000 0.3367
0.5000 0.2770 0.7770
0.5000 0.7230 0.2230
0.6633 0.0000 0.6633
0.7230 0.5000 0.2230
0.0000 0.0000 0.5000
0.0000 0.5000 0.0000
0.5000 0.0000 0.0000
0.5000 0.5000 0.5000